#1
First-principles (GGA-PBE) data for a relaxed structure of PmAl2Pt, as listed in Alexandria via LeMat-Bulk.

Calculated values
total magnetic moment: 0.00 μB/cell
calculated volume: 20.2 Å³ per atom

CIF file:
```
data_PmAl2Pt
_cell_length_a 5.8076
_cell_length_b 5.8076
_cell_length_c 7.0170
_cell_angle_alpha 90.00
_cell_angle_beta 90.00
_cell_angle_gamma 137.01
_space_group_name_H-M_alt 'P 1'
_space_group_IT_number 1
loop_
_space_group_symop_operation_xyz
'x,y,z'
loop_
_atom_site_label
_atom_site_fract_x
_atom_site_fract_y
_atom_site_fract_z
Pm1 0.0644 0.9356 0.7500
Pm2 0.9356 0.0644 0.2500
Al1 0.3454 0.6546 0.5555
Al2 0.3454 0.6546 0.9445
Al3 0.6546 0.3454 0.0555
Al4 0.6546 0.3454 0.4445
Pt1 0.2149 0.7851 0.2500
Pt2 0.7851 0.2149 0.7500
```

=====

#2
First-principles (GGA-PBE) data for a relaxed structure of PmAl2Pt, as listed in Alexandria via LeMat-Bulk.

Calculated values
total magnetic moment: 0.00 μB/cell
calculated volume: 20.1 Å³ per atom

CIF file:
```
data_PmAl2Pt
_cell_length_a 15.9206
_cell_length_b 6.9823
_cell_length_c 5.7851
_cell_angle_alpha 90.00
_cell_angle_beta 90.00
_cell_angle_gamma 90.00
_space_group_name_H-M_alt 'P 1'
_space_group_IT_number 1
loop_
_space_group_symop_operation_xyz
'x,y,z'
loop_
_atom_site_label
_atom_site_fract_x
_atom_site_fract_y
_atom_site_fract_z
Pm1 0.1047 0.2500 0.2394
Pm2 0.1411 0.7500 0.0171
Pm3 0.3589 0.2500 0.5171
Pm4 0.3953 0.7500 0.7394
Pm5 0.6047 0.2500 0.2606
Pm6 0.6411 0.7500 0.4829
Pm7 0.8589 0.2500 0.9829
Pm8 0.8953 0.7500 0.7606
Al1 0.0397 0.0568 0.7279
Al2 0.0397 0.4432 0.7279
Al3 0.2117 0.5559 0.5247
Al4 0.2117 0.9441 0.5247
Al5 0.2883 0.0559 0.0247
Al6 0.2883 0.4441 0.0247
Al7 0.4603 0.5568 0.2279
Al8 0.4603 0.9432 0.2279
Al9 0.5397 0.0568 0.7721
Al10 0.5397 0.4432 0.7721
Al11 0.7117 0.5559 0.9753
Al12 0.7117 0.9441 0.9753
Al13 0.7883 0.0559 0.4753
Al14 0.7883 0.4441 0.4753
Al15 0.9603 0.5568 0.2721
Al16 0.9603 0.9432 0.2721
Pt1 0.0719 0.7500 0.5034
Pt2 0.1804 0.2500 0.7615
Pt3 0.3196 0.7500 0.2615
Pt4 0.4281 0.2500 0.0034
Pt5 0.5719 0.7500 0.9966
Pt6 0.6804 0.2500 0.7385
Pt7 0.8196 0.7500 0.2385
Pt8 0.9281 0.2500 0.4966
```

=====

Stability check: which of them is most stable? #1.